No. 1
! SiIrW2Cl (PBE, optimized geometry); values from VASP
&SYSTEM
  ibrav = 0, nat = 5, ntyp = 4
/
ATOMIC_SPECIES
Si 28.09 Si.upf
Ir 192.22 Ir.upf
W 183.84 W.upf
Cl 35.45 Cl.upf
ATOMIC_POSITIONS crystal
Si 0.000 0.000 0.000
Ir 0.500 0.500 0.000
W 0.000 0.500 0.500
W 0.500 0.000 0.500
Cl 0.500 0.500 0.500
CELL_PARAMETERS angstrom
4.436 0.000 0.000
0.000 4.436 0.000
0.000 0.000 4.342
! Formation energy (no corrections) = 1.7191 eV per atom

No. 2
! BaAl2Pt (PBE, optimized geometry); values from VASP
&SYSTEM
  ibrav = 0, nat = 4, ntyp = 3
/
ATOMIC_SPECIES
Ba 137.33 Ba.upf
Al 26.98 Al.upf
Pt 195.08 Pt.upf
ATOMIC_POSITIONS crystal
Ba 0.000 0.000 0.000
Al 0.314 0.686 0.500
Al 0.539 0.461 0.000
Pt 0.636 0.364 0.500
CELL_PARAMETERS angstrom
3.839 -3.799 0.000
3.839 3.799 0.000
-2.855 0.000 3.753
! Formation energy = -0.28 eV per atom

No. 3
! Dy2MnZnC (PBE, optimized geometry); values from VASP
&SYSTEM
  ibrav = 0, nat = 5, ntyp = 4
/
ATOMIC_SPECIES
Dy 162.50 Dy.upf
Mn 54.94 Mn.upf
Zn 65.41 Zn.upf
C 12.01 C.upf
ATOMIC_POSITIONS crystal
Dy 0.000 0.500 0.000
Dy 0.500 0.000 0.000
Mn 0.000 0.000 0.500
Zn 0.500 0.500 0.500
C 0.000 0.000 0.000
CELL_PARAMETERS angstrom
4.970 0.000 0.000
0.000 4.970 0.000
0.000 0.000 3.747
! Formation energy = -0.28 eV per atom

No. 4
! Ca2SnBiPd (PBE, optimized geometry); values from VASP
&SYSTEM
  ibrav = 0, nat = 5, ntyp = 4
/
ATOMIC_SPECIES
Ca 40.08 Ca.upf
Sn 118.71 Sn.upf
Bi 208.98 Bi.upf
Pd 106.42 Pd.upf
ATOMIC_POSITIONS crystal
Ca 0.000 0.500 0.000
Ca 0.500 0.000 0.000
Sn 0.000 0.000 0.500
Bi 0.000 0.000 0.000
Pd 0.500 0.500 0.500
CELL_PARAMETERS angstrom
5.889 0.000 0.000
0.000 5.889 0.000
0.000 0.000 5.784
! Formation energy = 0.32 eV per atom

Calculated values (eV/atom) of E_tot for the records, taken in order: -6.69; -4.15; -6.05; -3.09.
Calculated values (states/eV/cell) of Fermi-level density of states for the records, taken in order: 4.4; 2.5; 5.2; 3.7.
Calculated values (Bohr magnetons per cell) of size of the total moment for the records, taken in order: 0.0; 0.0; 1.2; 0.0.